{"formula": "FeReTc2", "functional": "PBE", "state": "optimized geometry", "cell": [[-2.8076, -2.3899, 2.8335], [-2.9835, -3.5470, 0.3750], [2.9616, -3.3577, 1.3684]], "species": ["Tc", "Tc", "Re", "Fe"], "fractional_positions": [[0.9998, 0.9998, 0.0028], [0.2473, 0.2473, 0.2547], [0.7537, 0.7537, 0.7403], [0.4992, 0.4992, 0.5022]], "e_tot_ev_per_atom": -10.29, "delta_e_f_ev_per_atom": 0.117, "m_tot_mub_per_fu": 1.5}